(1)
## ScGaRu2 (PBE-GGA)

Data for crystalline ScGaRu2 at its relaxed geometry.

CIF file:
```
data_ScGaRu2
_chemical_formula_sum 'Sc4 Ga4 Ru8'
_symmetry_space_group_name_H-M 'I -4 2 d'
_symmetry_Int_Tables_number 122
_symmetry_space_group_name_Hall 'I -4 2bw'
_cell_length_a 4.0373
_cell_length_b 4.0373
_cell_length_c 17.5940
_cell_angle_alpha 90.00
_cell_angle_beta 90.00
_cell_angle_gamma 90.00
loop_
_atom_site_label
_atom_site_type_symbol
_atom_site_fract_x
_atom_site_fract_y
_atom_site_fract_z
Sc1 Sc 0.0000 0.0000 0.0000
Ga1 Ga 0.0000 0.0000 0.5000
Ru1 Ru 0.1755 0.2500 0.6250
```

E_form (eV/atom): 0.07


(2)
## Sc2Ga8Ru (PBE-GGA)

Data for crystalline Sc2Ga8Ru at its relaxed geometry.

CIF file:
```
data_Sc2Ga8Ru
_chemical_formula_sum 'Sc2 Ga8 Ru1'
_symmetry_space_group_name_H-M 'P 4/m m m'
_symmetry_Int_Tables_number 123
_symmetry_space_group_name_Hall '-P 4 2'
_cell_length_a 4.1785
_cell_length_b 4.1785
_cell_length_c 10.9308
_cell_angle_alpha 90.00
_cell_angle_beta 90.00
_cell_angle_gamma 90.00
loop_
_atom_site_label
_atom_site_type_symbol
_atom_site_fract_x
_atom_site_fract_y
_atom_site_fract_z
Sc1 Sc 0.0000 0.0000 0.1876
Ga1 Ga 0.0000 0.5000 0.0000
Ga2 Ga 0.0000 0.5000 0.3713
Ga3 Ga 0.5000 0.5000 0.1880
Ru1 Ru 0.0000 0.0000 0.5000
```

E_form (eV/atom): -0.46


(3)
## Sc3Ga2Ru (PBE-GGA)

Data for crystalline Sc3Ga2Ru at its relaxed geometry.

CIF file:
```
data_Sc3Ga2Ru
_chemical_formula_sum 'Sc18 Ga12 Ru6'
_symmetry_space_group_name_H-M 'R -3 c'
_symmetry_Int_Tables_number 167
_symmetry_space_group_name_Hall '-R 3 2"c'
_cell_length_a 7.6552
_cell_length_b 7.6552
_cell_length_c 14.8154
_cell_angle_alpha 90.00
_cell_angle_beta 90.00
_cell_angle_gamma 120.00
loop_
_atom_site_label
_atom_site_type_symbol
_atom_site_fract_x
_atom_site_fract_y
_atom_site_fract_z
Sc1 Sc 0.0000 0.3538 0.2500
Ga1 Ga 0.0000 0.0000 0.1697
Ru1 Ru 0.0000 0.0000 0.0000
```

E_form (eV/atom): -0.33


(4)
## ScGaRu (PBE-GGA)

Data for crystalline ScGaRu at its relaxed geometry.

CIF file:
```
data_ScGaRu
_chemical_formula_sum 'Sc4 Ga4 Ru4'
_symmetry_space_group_name_H-M 'P n m a'
_symmetry_Int_Tables_number 62
_cell_length_a 6.6408
_cell_length_b 4.4493
_cell_length_c 7.0163
_cell_angle_alpha 90.00
_cell_angle_beta 90.00
_cell_angle_gamma 90.00
loop_
_symmetry_equiv_pos_as_xyz
'x,y,z'
'-x,-y,-z'
'-x+1/2,-y,z+1/2'
'x+1/2,y,-z+1/2'
'x+1/2,-y+1/2,-z+1/2'
'-x+1/2,y+1/2,z+1/2'
'-x,y+1/2,-z'
'x,-y+1/2,z'
loop_
_atom_site_label
_atom_site_type_symbol
_atom_site_fract_x
_atom_site_fract_y
_atom_site_fract_z
Sc1 Sc 0.0135 0.2500 0.1990
Ga1 Ga 0.2079 0.2500 0.6021
Ru1 Ru 0.1718 0.7500 0.4409
```

E_form (eV/atom): -0.56


(5)
## Sc2Ga2Ru3 (PBE-GGA)

Data for crystalline Sc2Ga2Ru3 at its relaxed geometry.

CIF file:
```
data_Sc2Ga2Ru3
_chemical_formula_sum 'Sc2 Ga2 Ru3'
_symmetry_space_group_name_H-M 'P -1'
_symmetry_Int_Tables_number 2
_cell_length_a 4.3618
_cell_length_b 4.6193
_cell_length_c 6.4889
_cell_angle_alpha 77.12
_cell_angle_beta 89.92
_cell_angle_gamma 61.83
loop_
_symmetry_equiv_pos_as_xyz
'x,y,z'
'-x,-y,-z'
loop_
_atom_site_label
_atom_site_type_symbol
_atom_site_fract_x
_atom_site_fract_y
_atom_site_fract_z
Sc1 Sc 0.1993 0.1005 0.1552
Ga1 Ga 0.3898 0.7226 0.6007
Ru1 Ru 0.0989 0.3034 0.6862
Ru2 Ru 0.5000 0.5000 0.0000
```

E_form (eV/atom): -0.48


(6)
## Sc12Ga6Ru (PBE-GGA)

Data for crystalline Sc12Ga6Ru at its relaxed geometry.

CIF file:
```
data_Sc12Ga6Ru
_chemical_formula_sum 'Sc36 Ga18 Ru3'
_symmetry_space_group_name_H-M 'R -3'
_symmetry_Int_Tables_number 148
_symmetry_space_group_name_Hall '-R 3'
_cell_length_a 11.9788
_cell_length_b 11.9788
_cell_length_c 11.1279
_cell_angle_alpha 90.00
_cell_angle_beta 90.00
_cell_angle_gamma 120.00
loop_
_atom_site_label
_atom_site_type_symbol
_atom_site_fract_x
_atom_site_fract_y
_atom_site_fract_z
Sc1 Sc 0.0361 0.8267 0.3923
Sc2 Sc 0.0482 0.8461 0.8832
Ga1 Ga 0.0504 0.7803 0.6462
Ru1 Ru 0.0000 0.0000 0.0000
```

E_form (eV/atom): -0.20